(1)
Compound: MnIn2Ir
Source: the Alexandria database
Functional: meta-GGA SCAN
Structure: PBEsol geometry

Values from the calculation:
Space group: C2/m
Total magnetic moment (μB/cell): 4.21
Formation energy from the elements (meV per atom): -42.2
Calculated total energy (eV per atom): -39.074

Unit cell a=3.0967 b=4.7444 c=5.0473 alpha=99.66 beta=90.00 gamma=109.05
Sites, in units of the cell vectors:
In1 0.2547 0.5094 0.2550
In2 0.7453 0.4906 0.7450
Ir1 0.0000 0.0000 0.5000
Mn1 0.5000 0.0000 0.0000



(2)
Compound: Cd2CuAg
Source: the Alexandria database
Functional: meta-GGA SCAN
Structure: PBEsol geometry

Values from the calculation:
Space group: P4mm
Total magnetic moment (μB/cell): 0.00
Formation energy from the elements (meV per atom): 32.4
Calculated total energy (eV per atom): -26.816

Unit cell a=3.1158 b=3.1152 c=6.9830 alpha=90.00 beta=90.00 gamma=90.00
Sites, in units of the cell vectors:
Ag1 0.5000 0.5000 0.7195
Cd1 0.0000 0.0000 0.9843
Cu1 0.0000 0.0000 0.5105
Cd2 0.5000 0.5000 0.2856



(3)
Compound: Sc2AgIr
Source: the Alexandria database
Functional: meta-GGA SCAN
Structure: PBEsol geometry

Values from the calculation:
Space group: Pmm2
Offset from the most stable computed form (eV per atom): 0.340
Total magnetic moment (μB/cell): 0.00
Formation energy from the elements (meV per atom): -484.5
Calculated total energy (eV per atom): -33.220

Unit cell a=3.1343 b=4.1656 c=5.6183 alpha=90.00 beta=90.00 gamma=90.00
Sites, in units of the cell vectors:
Ag1 0.0000 0.0000 0.4689
Sc1 0.5000 0.5000 0.2815
Ir1 0.5000 0.5000 0.8084
Sc2 0.0000 0.0000 0.9412



(4)
Compound: Ba2TlBr
Source: the Alexandria database
Functional: meta-GGA SCAN
Structure: PBEsol geometry

Values from the calculation:
Formation energy without anion corrections (eV per atom): -1.18
Space group: P2/m
Offset from the most stable computed form (eV per atom): 0.000
Total magnetic moment (μB/cell): 0.00
Calculated total energy (eV per atom): -43.914

Unit cell a=3.9277 b=3.9272 c=9.0920 alpha=90.08 beta=90.00 gamma=90.00
Sites, in units of the cell vectors:
Ba1 0.0000 0.0014 0.2466
Tl1 0.5000 0.5000 0.0000
Br1 0.5000 0.5000 0.5000
Ba2 0.0000 0.9986 0.7534



(5)
Compound: NaGe3I
Source: the Alexandria database
Functional: meta-GGA SCAN
Structure: PBEsol geometry

Values from the calculation:
Formation energy without anion corrections (eV per atom): 1.10
Space group: Pm-3m
Total magnetic moment (μB/cell): 0.00
Calculated total energy (eV per atom): -18.548

Unit cell a=5.1313 b=5.1313 c=5.1313 alpha=90.00 beta=90.00 gamma=90.00
Sites, in units of the cell vectors:
I1 0.5000 0.5000 0.5000
Ge1 0.5000 0.0000 0.0000
Na1 0.0000 0.0000 0.0000
Ge2 0.0000 0.0000 0.5000
Ge3 0.0000 0.5000 0.0000



(6)
Compound: SrAl2H
Source: the Alexandria database
Functional: meta-GGA SCAN
Structure: PBEsol geometry

Values from the calculation:
Space group: Fd-3m
Offset from the most stable computed form (eV per atom): 0.000
Total magnetic moment (μB/cell): 0.00
Calculated total energy (eV per atom): -10.301

Unit cell a=5.9854 b=5.9854 c=5.9854 alpha=60.00 beta=60.00 gamma=60.00
Sites, in units of the cell vectors:
Sr1 0.0000 0.0000 0.0000
Al1 0.6250 0.6250 0.1250
H1 0.7500 0.7500 0.7500
Al2 0.6250 0.1250 0.6250
H2 0.5000 0.5000 0.5000
Al3 0.6250 0.6250 0.6250
Sr2 0.2500 0.2500 0.2500
Al4 0.1250 0.6250 0.6250



(7)
Compound: SrAs2CSe
Source: the Alexandria database
Functional: meta-GGA SCAN
Structure: PBEsol geometry

Values from the calculation:
Formation energy without anion corrections (eV per atom): 2.18
Space group: P4/mmm
Total magnetic moment (μB/cell): 0.27
Calculated total energy (eV per atom): -16.389

Unit cell a=5.5195 b=5.6576 c=5.6576 alpha=90.00 beta=90.00 gamma=90.00
Sites, in units of the cell vectors:
Se1 0.5000 0.0000 0.0000
As1 0.0000 0.5000 0.0000
Sr1 0.0000 0.0000 0.0000
C1 0.5000 0.5000 0.5000
As2 0.0000 0.0000 0.5000



(8)
Compound: Fe2SnGePb
Source: the Alexandria database
Functional: meta-GGA SCAN
Structure: PBEsol geometry

Values from the calculation:
Space group: P4/mmm
Total magnetic moment (μB/cell): 5.82
Formation energy from the elements (meV per atom): 839.8
Calculated total energy (eV per atom): -32.570

Unit cell a=4.5328 b=4.5328 c=5.4111 alpha=90.00 beta=90.00 gamma=90.00
Sites, in units of the cell vectors:
Fe1 0.5000 0.0000 0.0000
Pb1 0.0000 0.0000 0.5000
Fe2 0.0000 0.5000 0.0000
Sn1 0.5000 0.5000 0.5000
Ge1 0.0000 0.0000 0.0000



(9)
Compound: Ta3InSb
Source: the Alexandria database
Functional: meta-GGA SCAN
Structure: PBEsol geometry

Values from the calculation:
Formation energy without anion corrections (eV per atom): 2.08
Space group: Pm-3m
Total magnetic moment (μB/cell): 0.00
Calculated total energy (eV per atom): -51.998

Unit cell a=4.9545 b=4.9545 c=4.9545 alpha=90.00 beta=90.00 gamma=90.00
Sites, in units of the cell vectors:
In1 0.0000 0.0000 0.0000
Ta1 0.0000 0.0000 0.5000
Ta2 0.0000 0.5000 0.0000
Ta3 0.5000 0.0000 0.0000
Sb1 0.5000 0.5000 0.5000



(10)
Compound: K3BaCu
Source: the Alexandria database
Functional: meta-GGA SCAN
Structure: PBEsol geometry

Values from the calculation:
Space group: Pm-3m
Total magnetic moment (μB/cell): 2.04
Formation energy from the elements (meV per atom): 1087.2
Calculated total energy (eV per atom): -14.860

Unit cell a=7.9409 b=7.9409 c=7.9409 alpha=90.00 beta=90.00 gamma=90.00
Sites, in units of the cell vectors:
K1 0.0000 0.0000 0.5000
Ba1 0.0000 0.0000 0.0000
Cu1 0.5000 0.5000 0.5000
K2 0.0000 0.5000 0.0000
K3 0.5000 0.0000 0.0000



(11)
Compound: CdHg
Source: the Alexandria database
Functional: meta-GGA SCAN
Structure: PBEsol geometry

Values from the calculation:
Space group: Fd-3m
Total magnetic moment (μB/cell): 0.00
Formation energy from the elements (meV per atom): 63.4
Calculated total energy (eV per atom): -49.227

Unit cell a=5.0239 b=5.0239 c=5.0239 alpha=60.00 beta=60.00 gamma=60.00
Sites, in units of the cell vectors:
Cd1 0.2500 0.2500 0.2500
Hg1 0.7500 0.7500 0.7500
Cd2 0.0000 0.0000 0.0000
Hg2 0.5000 0.5000 0.5000



(12)
Compound: SrSiCl
Source: the Alexandria database
Functional: meta-GGA SCAN
Structure: PBEsol geometry

Values from the calculation:
Formation energy without anion corrections (eV per atom): -0.63
Space group: I4mm
Total magnetic moment (μB/cell): 0.96
Calculated total energy (eV per atom): -14.053

Unit cell a=3.4635 b=3.4635 c=7.5538 alpha=103.25 beta=103.25 gamma=90.00
Sites, in units of the cell vectors:
Si1 0.3075 0.3075 0.6150
Sr1 0.6499 0.6499 0.2998
Cl1 0.0426 0.0426 0.0852



(13)
Compound: Y2InCl7
Source: the Alexandria database
Functional: meta-GGA SCAN
Structure: PBEsol geometry

Values from the calculation:
Formation energy without anion corrections (eV per atom): -2.24
Space group: Pnma
Total magnetic moment (μB/cell): 0.35
Calculated total energy (eV per atom): -16.732

Unit cell a=6.8159 b=12.4883 c=12.5768 alpha=90.00 beta=90.00 gamma=90.00
Sites, in units of the cell vectors:
Cl1 0.9916 0.4537 0.3733
Cl2 0.0102 0.0866 0.6150
Cl3 0.9916 0.0463 0.8733
Y1 0.2500 0.5331 0.2351
Y2 0.2500 0.8353 0.2468
Y3 0.7500 0.4669 0.7649
Cl4 0.4898 0.4134 0.1150
Cl5 0.4964 0.6866 0.1692
Cl6 0.4964 0.8134 0.6692
Cl7 0.2500 0.6813 0.3963
Cl8 0.0036 0.6866 0.1692
Cl9 0.5036 0.3134 0.8308
Cl10 0.4916 0.9537 0.1267
Cl11 0.5102 0.5866 0.8850
Cl12 0.0102 0.4134 0.1150
Y4 0.2500 0.9669 0.7351
Cl13 0.7500 0.3187 0.6037
In1 0.7500 0.7965 0.9686
Cl14 0.0084 0.9537 0.1267
Cl15 0.4898 0.0866 0.6150
Cl16 0.5084 0.4537 0.3733
Cl17 0.2500 0.8187 0.8963
Cl18 0.5084 0.0463 0.8733
Cl19 0.9898 0.9134 0.3850
Cl20 0.7500 0.1813 0.1037
Cl21 0.5036 0.1866 0.3308
Y5 0.7500 0.3353 0.2532
Cl22 0.4916 0.5463 0.6267
Y6 0.7500 0.0331 0.2649
In2 0.2500 0.2035 0.0314
In3 0.2500 0.2965 0.5314
Cl23 0.0036 0.8134 0.6692
Y7 0.7500 0.1647 0.7532
Cl24 0.5102 0.9134 0.3850
Cl25 0.9898 0.5866 0.8850
Cl26 0.0084 0.5463 0.6267
In4 0.7500 0.7035 0.4686
Y8 0.2500 0.6647 0.7468
Cl27 0.9964 0.1866 0.3308
Cl28 0.9964 0.3134 0.8308